1.
CdAg5Pd6: optimized geometry, PBE.

## Properties
SG: No. 12
Crystal system: monoclinic
Fermi-level density of states, states/eV/cell: 5.80

a b c (Å): 9.435 4.977 4.978
angles (deg): 60.01 84.93 79.81
Positions (direct):
Pd: 0.750 0.083 0.333
Pd: 0.249 0.250 0.000
Pd: 0.250 0.583 0.333
Pd: 0.750 0.417 0.667
Pd: 0.751 0.750 0.000
Pd: 0.250 0.917 0.667
Ag: 0.500 0.500 0.000
Ag: 0.000 0.667 0.667
Ag: 0.000 0.333 0.333
Ag: 0.500 0.167 0.667
Ag: 0.500 0.833 0.333
Cd: 0.000 0.000 0.000

***

2.
Cd6Ag8Pd: optimized geometry, PBE.

## Properties
SG: No. 148
Crystal system: trigonal
Fermi-level density of states, states/eV/cell: 4.80

a b c (Å): 7.416 7.416 7.485
angles (deg): 60.30 60.30 60.00
Positions (direct):
Cd: 0.227 0.547 0.161
Cd: 0.936 0.773 0.839
Cd: 0.547 0.064 0.161
Cd: 0.773 0.453 0.839
Cd: 0.453 0.936 0.839
Cd: 0.064 0.227 0.161
Ag: 0.402 0.686 0.684
Ag: 0.155 0.155 0.534
Ag: 0.228 0.402 0.684
Ag: 0.598 0.314 0.316
Ag: 0.314 0.772 0.316
Ag: 0.845 0.845 0.466
Ag: 0.772 0.598 0.316
Ag: 0.686 0.228 0.684
Pd: 0.000 0.000 0.000

***

3.
Cd3Ag4Pd4: optimized geometry, PBE.

## Properties
SG: No. 2
Crystal system: triclinic
Fermi-level density of states, states/eV/cell: 2.67

a b c (Å): 2.999 3.977 16.259
angles (deg): 97.06 95.19 89.79
Positions (direct):
Cd: 0.362 0.363 0.725
Cd: 0.637 0.637 0.275
Cd: 0.000 0.000 0.000
Ag: 0.910 0.911 0.820
Ag: 0.728 0.728 0.455
Ag: 0.272 0.272 0.545
Ag: 0.090 0.090 0.180
Pd: 0.819 0.819 0.637
Pd: 0.455 0.455 0.909
Pd: 0.545 0.545 0.091
Pd: 0.181 0.181 0.363

***

4.
Cd4Ag6Pd: optimized geometry, PBE.

## Properties
SG: No. 121
Crystal system: tetragonal
Fermi-level density of states, states/eV/cell: 3.68

a b c (Å): 8.142 8.142 8.142
angles (deg): 58.48 139.59 139.59
Positions (direct):
Cd: 0.000 0.642 0.032
Cd: 0.000 0.032 0.642
Cd: 0.610 0.968 0.968
Cd: 0.390 0.358 0.358
Ag: 0.000 0.821 0.450
Ag: 0.000 0.450 0.821
Ag: 0.629 0.179 0.179
Ag: 0.500 0.000 0.500
Ag: 0.500 0.500 0.000
Ag: 0.371 0.550 0.550
Pd: 0.000 0.000 0.000

***

5.
Cd3Ag3Pd: optimized geometry, PBE.

## Properties
Energy above the lowest structure with this stoichiometry, eV per formula unit: 0.35
SG: No. 148
Crystal system: trigonal
Fermi-level density of states, states/eV/cell: 5.05

a b c (Å): 7.057 7.057 7.765
angles (deg): 62.97 62.97 60.00
Positions (direct):
Cd: 0.236 0.695 0.171
Cd: 0.695 0.898 0.171
Cd: 0.305 0.102 0.829
Cd: 0.764 0.305 0.829
Cd: 0.102 0.764 0.829
Cd: 0.898 0.236 0.171
Pd: 0.681 0.681 0.958
Pd: 0.319 0.319 0.042
Ag: 0.239 0.939 0.391
Ag: 0.061 0.569 0.609
Ag: 0.569 0.761 0.609
Ag: 0.939 0.431 0.391
Ag: 0.431 0.239 0.391
Ag: 0.761 0.061 0.609

***

6.
Cd12Ag5Pd3: optimized geometry, PBE.

## Properties
SG: No. 230
Crystal system: cubic
Fermi-level density of states, states/eV/cell: 43.70

a b c (Å): 13.946 13.946 13.946
angles (deg): 109.47 109.47 109.47
Positions (direct):
Cd: 0.568 0.232 0.141
Cd: 0.359 0.427 0.091
Cd: 0.836 0.909 0.268
Cd: 0.432 0.768 0.859
Cd: 0.573 0.932 0.664
Cd: 0.768 0.432 0.359
Cd: 0.141 0.732 0.568
Cd: 0.164 0.073 0.932
Cd: 0.568 0.336 0.927
Cd: 0.409 0.141 0.573
Cd: 0.359 0.932 0.768
Cd: 0.732 0.591 0.164
Cd: 0.836 0.927 0.068
Cd: 0.932 0.359 0.268
Cd: 0.091 0.164 0.232
Cd: 0.641 0.573 0.909
Cd: 0.091 0.927 0.359
Cd: 0.073 0.164 0.432
Cd: 0.768 0.336 0.909
Cd: 0.859 0.268 0.432
Cd: 0.409 0.268 0.336
Cd: 0.573 0.641 0.409
Cd: 0.591 0.732 0.664
Cd: 0.859 0.591 0.927
Cd: 0.641 0.068 0.232
Cd: 0.068 0.641 0.732
Cd: 0.927 0.091 0.859
Cd: 0.732 0.141 0.068
Cd: 0.232 0.664 0.091
Cd: 0.164 0.091 0.732
Cd: 0.336 0.568 0.427
Cd: 0.268 0.859 0.932
Cd: 0.591 0.859 0.427
Cd: 0.909 0.073 0.641
Cd: 0.427 0.068 0.336
Cd: 0.427 0.359 0.591
Cd: 0.932 0.573 0.164
Cd: 0.664 0.432 0.573
Cd: 0.141 0.409 0.073
Cd: 0.073 0.909 0.141
Cd: 0.432 0.664 0.073
Cd: 0.664 0.232 0.591
Cd: 0.268 0.409 0.836
Cd: 0.927 0.836 0.568
Cd: 0.232 0.568 0.641
Cd: 0.336 0.768 0.409
Cd: 0.909 0.836 0.768
Cd: 0.068 0.427 0.836
Pd: 0.125 0.875 0.750
Pd: 0.625 0.250 0.375
Pd: 0.250 0.625 0.875
Pd: 0.125 0.250 0.875
Pd: 0.375 0.750 0.625
Pd: 0.625 0.375 0.750
Pd: 0.750 0.375 0.125
Pd: 0.750 0.875 0.625
Pd: 0.875 0.125 0.250
Pd: 0.875 0.750 0.125
Pd: 0.250 0.125 0.375
Pd: 0.375 0.625 0.250
Ag: 0.750 0.625 0.375
Ag: 0.500 0.000 0.500
Ag: 0.500 0.000 0.000
Ag: 0.375 0.250 0.125
Ag: 0.250 0.375 0.625
Ag: 0.375 0.125 0.750
Ag: 0.875 0.250 0.625
Ag: 0.750 0.125 0.875
Ag: 0.625 0.750 0.875
Ag: 0.500 0.500 0.500
Ag: 0.875 0.625 0.750
Ag: 0.125 0.375 0.250
Ag: 0.125 0.750 0.375
Ag: 0.000 0.500 0.000
Ag: 0.000 0.000 0.000
Ag: 0.500 0.500 0.000
Ag: 0.250 0.875 0.125
Ag: 0.000 0.500 0.500
Ag: 0.625 0.875 0.250
Ag: 0.000 0.000 0.500

***

7.
Cd4AgPd2: optimized geometry, PBE.

## Properties
Energy above the lowest structure with this stoichiometry, eV per formula unit: 0.62
SG: No. 11
Crystal system: monoclinic
Fermi-level density of states, states/eV/cell: 6.45

a b c (Å): 7.350 5.890 7.145
angles (deg): 90.00 116.38 90.00
Positions (direct):
Ag: 0.313 0.750 0.052
Ag: 0.687 0.250 0.948
Cd: 0.702 0.999 0.309
Cd: 0.298 0.001 0.691
Cd: 0.298 0.499 0.691
Cd: 0.702 0.501 0.309
Cd: 0.943 0.250 0.740
Cd: 0.900 0.750 0.747
Cd: 0.100 0.250 0.253
Cd: 0.057 0.750 0.260
Pd: 0.485 0.750 0.492
Pd: 0.515 0.250 0.508
Pd: 0.658 0.750 0.952
Pd: 0.342 0.250 0.048

***

8.
Cd3Ag3Pd: optimized geometry, PBE.

## Properties
Energy above the lowest structure with this stoichiometry, eV per formula unit: 0.00
SG: No. 65
Crystal system: orthorhombic
Fermi-level density of states, states/eV/cell: 6.07

a b c (Å): 5.826 5.826 8.457
angles (deg): 90.00 90.00 79.40
Positions (direct):
Cd: 0.000 0.000 0.757
Cd: 0.000 0.500 0.758
Cd: 0.500 0.000 0.242
Cd: 0.000 0.000 0.243
Cd: 0.000 0.500 0.242
Cd: 0.500 0.000 0.758
Ag: 0.300 0.700 0.500
Ag: 0.700 0.300 0.500
Ag: 0.305 0.695 0.000
Ag: 0.778 0.778 0.500
Ag: 0.222 0.222 0.500
Ag: 0.695 0.305 0.000
Pd: 0.218 0.218 0.000
Pd: 0.782 0.782 0.000

***

Respective formation energy from the elements values: -0.0974, -0.0430, -0.1981, 0.0219, -0.0064, 0.1717, -0.1421, -0.0565 eV/atom.
Respective calculated density values: 10.75, 9.34, 10.35, 8.89, 8.94, 7.02, 9.23, 9.03 g/cm³.
Respective final energy values: -3.96, -2.28, -3.37, -2.34, -2.36, -1.87, -2.56, -2.41 eV per atom.